Below is MoRh3O after structural relaxation, with properties calculated at the PBE with a Hubbard U level.

It has space group Pm-3m (No. 221), with a = 4.7026 Å, b = 4.7026 Å, c = 4.7026 Å, α = 90.00°, β = 90.00° and γ = 90.00°. The asymmetric unit holds Mo at (0.0000, 0.0000, 0.0000), Rh at (0.0000, 0.0000, 0.5000) and O at (0.5000, 0.5000, 0.5000).

The calculation puts the distance to the lowest polymorph of the same formula at 1.5979 eV/atom.

Below is Ca3ScCoO6 after structural relaxation, with properties calculated at the PBE with a Hubbard U level.

It has space group R-3c (No. 167, hexagonal axes), with a = 9.2374 Å, b = 9.2374 Å, c = 10.5942 Å, α = 90.00°, β = 90.00° and γ = 120.00°. The asymmetric unit holds Ca at (0.0000, 0.3680, 0.2500), Sc at (0.0000, 0.0000, 0.2500), Co at (0.0000, 0.0000, 0.0000) and O at (0.0233, 0.1781, 0.3878).

no.,size of the total moment (μB per cell),energy (eV per atom)
1,2.13,-4.8268
2,0.01,-6.9545